# Pm12Ge2Rh5 | Alexandria via LeMat-Bulk | GGA-PBE | optimized geometry
data_Pm12Ge2Rh5
_chemical_formula_sum 'Pm24 Ge4 Rh10'
_symmetry_space_group_name_H-M 'C 1 2/m 1'
_symmetry_Int_Tables_number 12
_cell_length_a 16.352
_cell_length_b 7.302
_cell_length_c 9.447
_cell_angle_alpha 90.00
_cell_angle_beta 107.38
_cell_angle_gamma 90.00
loop_
_symmetry_equiv_pos_as_xyz
'x,y,z'
'-x,-y,-z'
'-x,y,-z'
'x,-y,z'
'x+1/2,y+1/2,z'
'-x+1/2,-y+1/2,-z'
'-x+1/2,y+1/2,-z'
'x+1/2,-y+1/2,z'
loop_
_atom_site_label
_atom_site_type_symbol
_atom_site_fract_x
_atom_site_fract_y
_atom_site_fract_z
Pm1 Pm 0.010 0.000 0.286
Pm2 Pm 0.089 0.500 0.300
Pm3 Pm 0.140 0.242 0.032
Pm4 Pm 0.186 0.239 0.622
Ge1 Ge 0.000 0.319 0.500
Rh1 Rh 0.000 0.500 0.000
Rh2 Rh 0.181 0.000 0.346
Rh3 Rh 0.215 0.000 0.861
# Fermi-level density of states = 16.861 states/eV/f.u.
# Formation energy from the elements = -0.50 eV per atom